# BaMg2CdF8

An optimized crystal structure of BaMg2CdF8 (GGA-PBE, Alexandria via LeMat-Bulk).

a b c (Å): 5.2166 6.8395 5.2188
angles (deg): 90.00 91.58 90.00
With the nearest neighbours (Å) after each atom.
Atoms (fractional coordinates):
1 Ba 0.0000 0.0000 0.0000  6 F 2.54
2 Mg 0.5000 0.2625 0.5000  6 F 1.97-2.16
3 Mg 0.5000 0.7375 0.5000  6 F 1.97-2.16
4 Cd 0.0000 0.5000 0.0000  6 F 2.25-2.37
5 F 0.2356 0.2794 0.2242  1 Mg 1.97
6 F 0.2356 0.7206 0.2242  1 Mg 1.97
7 F 0.3122 0.5000 0.6792  2 Mg 2.13, 1 Cd 2.37
8 F 0.3332 0.0000 0.6541  2 Mg 2.16, 1 F 2.40
9 F 0.6668 0.0000 0.3459  2 Mg 2.16, 1 F 2.40
10 F 0.6878 0.5000 0.3208  2 Mg 2.13, 1 Cd 2.37
11 F 0.7644 0.2794 0.7758  1 Mg 1.97
12 F 0.7644 0.7206 0.7758  1 Mg 1.97

Properties
* E_tot: -4.93 eV/atom
* raw formation energy: -3179 meV per atom
* magnetization: 0.000 μB/cell